Record 1
# MnAg2Pt

MnAg2Pt after structural relaxation (PBEsol, the Alexandria database).

Unit cell a=2.8451 b=2.8451 c=7.6596 alpha=90.00 beta=90.00 gamma=90.00
With the nearest neighbours (Å) after each atom.
Fractional positions:
Ag (0.0000, 0.0000, 0.9947)  8 Ag 2.85-2.87, 4 Pt 2.86
Ag (0.5000, 0.5000, 0.2613)  4 Mn 2.79, 8 Ag 2.85-2.87
Mn (0.0000, 0.0000, 0.5140)  4 Pt 2.60, 4 Ag 2.79, 4 Mn 2.85
Pt (0.5000, 0.5000, 0.7300)  4 Mn 2.60, 4 Pt 2.85, 4 Ag 2.86

Results
* symmetry: P4mm (99)
* E_form: 0.022 eV/atom
* DFT total energy: -23.260 eV per cell
* crystal system: tetragonal
* density of states at the Fermi level: 2.017 states/eV/cell

Record 2
# Sc2PdPt

Sc2PdPt after structural relaxation (PBEsol, the Alexandria database).

Unit cell a=4.6058 b=4.6058 c=4.6058 alpha=60.00 beta=60.00 gamma=60.00
With the nearest neighbours (Å) after each atom.
Fractional positions:
Sc (0.2500, 0.2500, 0.2500)  4 Pd 2.82, 4 Pt 2.82
Sc (0.7500, 0.7500, 0.7500)  4 Pd 2.82, 4 Pt 2.82
Pt (0.0000, 0.0000, 0.0000)  8 Sc 2.82
Pd (0.5000, 0.5000, 0.5000)  8 Sc 2.82

Results
* symmetry: Fm-3m (225)
* E_form: -1.071 eV/atom
* DFT total energy: -30.416 eV per cell
* crystal system: cubic
* density of states at the Fermi level: 2.451 states/eV/cell

Record 3
# SbPAu

SbPAu after structural relaxation (PBEsol, the Alexandria database).

Unit cell a=4.5148 b=4.5148 c=4.5148 alpha=60.00 beta=60.00 gamma=60.00
With the nearest neighbours (Å) after each atom.
Fractional positions:
Sb (0.0000, 0.0000, 0.0000)  4 P 2.76
Au (0.5000, 0.5000, 0.5000)  4 P 2.76
P (0.2500, 0.2500, 0.2500)  4 Sb 2.76, 4 Au 2.76

Results
* formation energy from raw total energies: 33.7 kJ per mole of atoms
* symmetry: F-43m (216)
* DFT total energy: -13.226 eV per cell
* crystal system: cubic
* density of states at the Fermi level: 1.051 states/eV/cell

Record 4
# SbSeS2N

SbSeS2N after structural relaxation (PBEsol, the Alexandria database).

Unit cell a=3.8304 b=5.0255 c=5.0255 alpha=90.00 beta=90.00 gamma=90.00
With the nearest neighbours (Å) after each atom.
Fractional positions:
Sb (0.0000, 0.0000, 0.0000)  2 N 1.92
S (0.0000, 0.0000, 0.5000)  2 Sb 2.51
S (0.0000, 0.5000, 0.0000)  2 Sb 2.51
Se (0.5000, 0.5000, 0.5000)  8 S 3.16
N (0.5000, 0.0000, 0.0000)  2 Sb 1.92

Results
* formation energy from raw total energies: 96.1 kJ per mole of atoms
* symmetry: P4/mmm (123)
* DFT total energy: -20.725 eV per cell
* crystal system: tetragonal
* density of states at the Fermi level: 3.212 states/eV/cell

Record 5
# Ga2SnCl2

Ga2SnCl2 after structural relaxation (PBEsol, the Alexandria database).

Unit cell a=3.6819 b=3.6819 c=8.9146 alpha=101.92 beta=101.92 gamma=90.00
With the nearest neighbours (Å) after each atom.
Fractional positions:
Sn (0.0000, 0.0000, 0.0000)  8 Cl 3.10
Ga (0.2500, 0.7500, 0.5000)  4 Ga 2.60
Ga (0.7500, 0.2500, 0.5000)  4 Ga 2.60
Cl (0.4011, 0.4011, 0.8022)  4 Sn 3.10, 4 Ga 3.17, 1 Cl 3.37
Cl (0.5989, 0.5989, 0.1978)  4 Sn 3.10, 4 Ga 3.17, 1 Cl 3.37

Results
* formation energy from raw total energies: -26.2 kJ per mole of atoms
* symmetry: I4/mmm (139)
* DFT total energy: -16.312 eV per cell
* crystal system: tetragonal
* density of states at the Fermi level: 2.614 states/eV/cell

Record 6
# ReRh

ReRh after structural relaxation (PBEsol, the Alexandria database).

Unit cell a=2.7230 b=2.7230 c=8.7347 alpha=90.00 beta=90.00 gamma=120.00
With the nearest neighbours (Å) after each atom.
Fractional positions:
Re (0.6667, 0.3333, 0.1269)  3 Rh 2.65, 9 Re 2.72
Re (0.3333, 0.6667, 0.8731)  3 Rh 2.65, 9 Re 2.72
Rh (0.6667, 0.3333, 0.6288)  3 Re 2.65, 9 Rh 2.72-2.75
Rh (0.3333, 0.6667, 0.3712)  3 Re 2.65, 9 Rh 2.72-2.75

Results
* symmetry: P-3m1 (164)
* E_form: -0.094 eV/atom
* DFT total energy: -43.318 eV per cell
* crystal system: trigonal
* density of states at the Fermi level: 4.162 states/eV/cell

Record 7
# TlZnRe2

TlZnRe2 after structural relaxation (PBEsol, the Alexandria database).

Unit cell a=3.2171 b=3.2171 c=6.2728 alpha=90.00 beta=90.00 gamma=90.00
With the nearest neighbours (Å) after each atom.
Fractional positions:
Re (0.0000, 0.0000, 0.6971)  1 Re 2.47, 4 Zn 2.59
Re (0.0000, 0.0000, 0.3029)  1 Re 2.47, 4 Zn 2.59
Tl (0.5000, 0.5000, 0.0000)  8 Re 2.96, 2 Zn 3.14, 4 Tl 3.22
Zn (0.5000, 0.5000, 0.5000)  8 Re 2.59

Results
* symmetry: P4/mmm (123)
* E_form: 0.889 eV/atom
* DFT total energy: -27.319 eV per cell
* crystal system: tetragonal
* density of states at the Fermi level: 3.913 states/eV/cell

Record 8
# CaMgCu2

CaMgCu2 after structural relaxation (PBEsol, the Alexandria database).

Unit cell a=4.4053 b=4.4053 c=5.3632 alpha=89.80 beta=114.23 gamma=120.31
With the nearest neighbours (Å) after each atom.
Fractional positions:
Ca (0.5000, 0.0000, 0.5000)  2 Cu 2.81
Mg (0.5000, 0.5000, 0.0000)  6 Cu 2.58
Cu (0.8967, 0.1990, 0.0957)  3 Mg 2.58, 3 Cu 2.69-2.71, 1 Ca 2.81
Cu (0.1033, 0.8010, 0.9043)  3 Mg 2.58, 3 Cu 2.69-2.71, 1 Ca 2.81

Results
* symmetry: C2/m (12)
* E_form: -0.044 eV/atom
* DFT total energy: -12.693 eV per cell
* crystal system: monoclinic
* density of states at the Fermi level: 1.890 states/eV/cell

Record 9
# ZrTeCl2

ZrTeCl2 after structural relaxation (PBEsol, the Alexandria database).

Unit cell a=3.3149 b=5.7410 c=6.3931 alpha=116.66 beta=90.00 gamma=90.00
With the nearest neighbours (Å) after each atom.
Fractional positions:
Te (0.5000, 0.0000, 0.5000)  2 Zr 2.87
Zr (0.5000, 0.5000, 0.5000)  4 Cl 2.51
Cl (0.0000, 0.3355, 0.1710)  2 Zr 2.51
Cl (0.0000, 0.6645, 0.8290)  2 Zr 2.51

Results
* formation energy from raw total energies: -121.4 kJ per mole of atoms
* symmetry: Cmmm (65)
* DFT total energy: -21.667 eV per cell
* crystal system: orthorhombic
* density of states at the Fermi level: 1.271 states/eV/cell

Record 10
# NiPF2

NiPF2 after structural relaxation (PBEsol, the Alexandria database).

Unit cell a=4.3327 b=5.3524 c=5.3524 alpha=80.57 beta=66.12 gamma=66.12
With the nearest neighbours (Å) after each atom.
Fractional positions:
Ni (0.0000, 0.0000, 0.0000)  4 F 1.99, 2 P 2.17
Ni (0.7500, 0.5000, 0.5000)  4 F 1.99, 2 P 2.17
F (0.8750, 0.1302, 0.3698)  2 Ni 1.99
F (0.3750, 0.8698, 0.6302)  2 Ni 1.99
F (0.7552, 0.3698, 0.8698)  2 Ni 1.99
F (0.9948, 0.6302, 0.1302)  2 Ni 1.99
P (0.5000, 0.0000, 0.0000)  2 Ni 2.17
P (0.2500, 0.5000, 0.5000)  2 Ni 2.17

Results
* formation energy from raw total energies: -48.8 kJ per mole of atoms
* symmetry: I-42d (122)
* DFT total energy: -35.651 eV per cell
* crystal system: tetragonal
* density of states at the Fermi level: 5.338 states/eV/cell

Record 11
# TlOs2Pt

TlOs2Pt after structural relaxation (PBEsol, the Alexandria database).

Unit cell a=2.8112 b=4.6834 c=5.6234 alpha=114.59 beta=104.44 gamma=90.08
With the nearest neighbours (Å) after each atom.
Fractional positions:
Os (0.0000, 0.5000, 0.5000)  6 Os 2.73-2.81, 2 Tl 2.81, 2 Pt 2.81
Os (0.5000, 0.0000, 0.5000)  6 Os 2.73-2.81, 2 Tl 2.81, 2 Pt 2.81
Pt (0.0000, 0.0000, 0.0000)  4 Tl 2.73, 2 Pt 2.81, 4 Os 2.81
Tl (0.5000, 0.5000, 0.0000)  4 Pt 2.73, 2 Tl 2.81, 4 Os 2.81

Results
* symmetry: C2/m (12)
* E_form: 0.835 eV/atom
* DFT total energy: -30.684 eV per cell
* crystal system: monoclinic
* density of states at the Fermi level: 4.475 states/eV/cell

Record 12
# YSc2Rh2

YSc2Rh2 after structural relaxation (PBEsol, the Alexandria database).

Unit cell a=4.1730 b=4.1730 c=6.5257 alpha=108.65 beta=108.65 gamma=90.00
With the nearest neighbours (Å) after each atom.
Fractional positions:
Y (0.0000, 0.0000, 0.0000)  8 Rh 3.21, 8 Sc 3.58
Sc (0.2500, 0.7500, 0.5000)  4 Rh 2.65, 4 Sc 2.95
Sc (0.7500, 0.2500, 0.5000)  4 Rh 2.65, 4 Sc 2.95
Rh (0.3907, 0.3907, 0.7814)  1 Rh 2.54, 4 Sc 2.65
Rh (0.6093, 0.6093, 0.2186)  1 Rh 2.54, 4 Sc 2.65

Results
* symmetry: I4/mmm (139)
* E_form: -0.667 eV/atom
* DFT total energy: -39.642 eV per cell
* crystal system: tetragonal
* density of states at the Fermi level: 2.753 states/eV/cell

Record 13
# LiCuMo

LiCuMo after structural relaxation (PBEsol, the Alexandria database).

Unit cell a=2.4656 b=3.6345 c=4.8970 alpha=111.78 beta=104.58 gamma=90.00
With the nearest neighbours (Å) after each atom.
Fractional positions:
Cu (0.9913, 0.9913, 0.9826)  2 Cu 2.47, 4 Li 2.52, 4 Mo 2.64
Li (0.3491, 0.3491, 0.6981)  2 Li 2.47, 4 Cu 2.52, 5 Mo 2.72-2.75
Mo (0.6597, 0.6597, 0.3193)  2 Mo 2.47, 4 Cu 2.64, 5 Li 2.72-2.75

Results
* symmetry: Imm2 (44)
* E_form: 0.487 eV/atom
* DFT total energy: -16.607 eV per cell
* crystal system: orthorhombic
* density of states at the Fermi level: 2.491 states/eV/cell

Record 14
# KCuBr2

KCuBr2 after structural relaxation (PBEsol, the Alexandria database).

Unit cell a=6.5516 b=6.5516 c=6.5516 alpha=106.74 beta=110.86 gamma=110.86
With the nearest neighbours (Å) after each atom.
Fractional positions:
K (0.0000, 0.5000, 0.5000)  4 Br 3.26
K (0.5000, 0.2500, 0.7500)  4 Br 3.26
Cu (0.0000, 0.0000, 0.0000)  4 Br 2.43
Cu (0.5000, 0.7500, 0.2500)  4 Br 2.43
Br (0.0854, 0.7104, 0.1250)  2 Cu 2.43
Br (0.9146, 0.0396, 0.6250)  2 Cu 2.43
Br (0.4146, 0.3750, 0.2896)  2 Cu 2.43
Br (0.5854, 0.8750, 0.9604)  2 Cu 2.43

Results
* formation energy from raw total energies: -90.3 kJ per mole of atoms
* symmetry: I-42d (122)
* DFT total energy: -25.904 eV per cell
* crystal system: tetragonal

Record 15
# MnNbCl2

MnNbCl2 after structural relaxation (PBEsol, the Alexandria database).

Unit cell a=4.3785 b=4.3785 c=4.3785 alpha=60.00 beta=60.00 gamma=60.00
With the nearest neighbours (Å) after each atom.
Fractional positions:
Nb (0.5000, 0.5000, 0.5000)  8 Cl 2.68
Mn (0.0000, 0.0000, 0.0000)  8 Cl 2.68
Cl (0.2500, 0.2500, 0.2500)  4 Nb 2.68, 4 Mn 2.68
Cl (0.7500, 0.7500, 0.7500)  4 Nb 2.68, 4 Mn 2.68

Results
* formation energy from raw total energies: 25.9 kJ per mole of atoms
* symmetry: Fm-3m (225)
* DFT total energy: -23.526 eV per cell
* crystal system: cubic
* density of states at the Fermi level: 5.906 states/eV/cell

Record 16
# CrFeOs2

CrFeOs2 after structural relaxation (PBEsol, the Alexandria database).

Unit cell a=2.6286 b=3.6428 c=5.1970 alpha=90.00 beta=90.00 gamma=90.00
With the nearest neighbours (Å) after each atom.
Fractional positions:
Cr (0.0000, 0.0000, 0.5172)  5 Os 2.41-2.61, 4 Fe 2.53, 2 Cr 2.63
Fe (0.5000, 0.5000, 0.7421)  6 Os 2.50-2.69, 4 Cr 2.53, 2 Fe 2.63
Os (0.0000, 0.0000, 0.9805)  1 Cr 2.41, 4 Fe 2.57, 6 Os 2.63-2.68
Os (0.5000, 0.5000, 0.2602)  2 Fe 2.50-2.69, 4 Cr 2.61, 6 Os 2.63-2.68

Results
* symmetry: Pmm2 (25)
* E_form: 0.117 eV/atom
* DFT total energy: -43.171 eV per cell
* crystal system: orthorhombic
* density of states at the Fermi level: 4.077 states/eV/cell

Record 17
# KAsW2

KAsW2 after structural relaxation (PBEsol, the Alexandria database).

Unit cell a=2.7036 b=4.1042 c=7.7029 alpha=90.00 beta=90.00 gamma=90.00
With the nearest neighbours (Å) after each atom.
Fractional positions:
As (0.0000, 0.0000, 0.4309)  5 W 2.62-2.83, 2 As 2.70
K (0.5000, 0.5000, 0.7307)  2 K 2.70
W (0.0000, 0.0000, 0.0908)  1 As 2.62, 6 W 2.70-2.74
W (0.5000, 0.5000, 0.2476)  6 W 2.70-2.74, 4 As 2.83

Results
* symmetry: Pmm2 (25)
* E_form: 0.658 eV/atom
* DFT total energy: -31.223 eV per cell
* crystal system: orthorhombic
* density of states at the Fermi level: 2.734 states/eV/cell

Record 18
# Li2WAu

Li2WAu after structural relaxation (PBEsol, the Alexandria database).

Unit cell a=2.6403 b=4.5955 c=5.0227 alpha=90.00 beta=89.99 gamma=90.00
With the nearest neighbours (Å) after each atom.
Fractional positions:
Au (0.1250, 0.5000, 0.7037)  2 Au 2.64, 4 W 2.75, 6 Li 2.77-2.91
Li (0.1250, 0.0000, 0.0493)  6 Li 2.64-2.74, 4 W 2.79-2.88, 2 Au 2.88
Li (0.6251, 0.5000, 0.1877)  6 Li 2.64-2.74, 4 Au 2.77-2.91
W (0.6248, 0.0000, 0.5593)  2 W 2.64, 4 Au 2.75, 4 Li 2.79-2.88

Results
* symmetry: Pmm2 (25)
* E_form: 0.231 eV/atom
* DFT total energy: -20.740 eV per cell
* crystal system: orthorhombic
* density of states at the Fermi level: 1.595 states/eV/cell

Record 19
# TiCr3B

TiCr3B after structural relaxation (PBEsol, the Alexandria database).

Unit cell a=3.8936 b=3.8936 c=3.8936 alpha=90.00 beta=90.00 gamma=90.00
With the nearest neighbours (Å) after each atom.
Fractional positions:
Cr (0.0000, 0.5000, 0.0000)  2 B 1.95
Cr (0.0000, 0.0000, 0.5000)  2 B 1.95
Cr (0.5000, 0.0000, 0.0000)  2 B 1.95
B (0.0000, 0.0000, 0.0000)  6 Cr 1.95
Ti (0.5000, 0.5000, 0.5000)  12 Cr 2.75

Results
* symmetry: Pm-3m (221)
* E_form: 0.183 eV/atom
* DFT total energy: -45.148 eV per cell
* crystal system: cubic
* density of states at the Fermi level: 6.429 states/eV/cell

Record 20
# KFeHgBi2

KFeHgBi2 after structural relaxation (PBEsol, the Alexandria database).

Unit cell a=4.9513 b=4.9513 c=6.1841 alpha=90.00 beta=90.00 gamma=90.00
With the nearest neighbours (Å) after each atom.
Fractional positions:
Fe (0.0000, 0.0000, 0.0000)  4 Bi 2.48
K (0.0000, 0.0000, 0.5000)  2 Fe 3.09
Bi (0.0000, 0.5000, 0.0000)  2 Fe 2.48
Bi (0.5000, 0.0000, 0.0000)  2 Fe 2.48
Hg (0.5000, 0.5000, 0.5000)  4 K 3.50

Results
* symmetry: P4/mmm (123)
* E_form: 0.299 eV/atom
* DFT total energy: -17.740 eV per cell
* crystal system: tetragonal
* density of states at the Fermi level: 4.357 states/eV/cell